Crystalline Sc2Ti2Sn2O at its relaxed geometry. Source: the Alexandria database, functional PBE.

abc: 4.1722 4.1722 14.9777
angles: 90.00 90.00 90.00
With the nearest neighbours (Å) after each atom.
Space group I4/mmm (No. 139)
Inequivalent atoms, fractional coordinates:
Sc 0.0000 0.0000 0.1586  1 O 2.37
Ti 0.0000 0.5000 0.0000  2 O 2.09
Sn 0.0000 0.0000 0.3594  5 Sc 2.96-3.01, 4 Ti 2.96
O 0.0000 0.0000 0.0000  4 Ti 2.09

Summary:
E_tot: -7.074 eV per atom
raw formation energy: -1.16 eV per atom

Crystalline NaAcSi2 at its relaxed geometry. Source: the Alexandria database, functional PBE.

abc: 7.1104 4.6111 12.4403
angles: 90.00 90.00 90.00
With the nearest neighbours (Å) after each atom.
Space group Pnma (No. 62)
Inequivalent atoms, fractional coordinates:
Na 0.1482 0.2500 0.0462  5 Si 2.89-3.07
Ac 0.1463 0.2500 0.3346  8 Si 3.27-3.44, 1 Na 3.59
Si 0.0239 0.2500 0.8246  2 Si 2.41-2.44
Si 0.1833 0.2500 0.6541  2 Si 2.41-2.44

Summary:
E_tot: -4.416 eV per atom
raw formation energy: -0.35 eV per atom

Crystalline TlHgB2 at its relaxed geometry. Source: the Alexandria database, functional PBE.

abc: 6.5012 6.5012 6.5012
angles: 90.00 90.00 90.00
With the nearest neighbours (Å) after each atom.
Space group Fm-3m (No. 225)
Inequivalent atoms, fractional coordinates:
Tl 0.0000 0.0000 0.0000  8 B 2.82
Hg 0.0000 0.0000 0.5000  8 B 2.82
B 0.2500 0.2500 0.2500  4 Tl 2.82, 4 Hg 2.82

Summary:
calculated formation energy: 1753 meV/atom
E_tot: -2.253 eV per atom

Crystalline Ca2TeAu at its relaxed geometry. Source: the Alexandria database, functional PBE.

abc: 7.6022 7.6022 7.6022
angles: 90.00 90.00 90.00
With the nearest neighbours (Å) after each atom.
Space group F-43m (No. 216)
Inequivalent atoms, fractional coordinates:
Ca 0.0000 0.0000 0.0000  4 Te 3.29, 4 Ca 3.29
Ca 0.2500 0.2500 0.2500  4 Ca 3.29, 4 Au 3.29
Te 0.2500 0.2500 0.7500  4 Ca 3.29, 4 Au 3.29
Au 0.0000 0.0000 0.5000  4 Te 3.29, 4 Ca 3.29

Summary:
E_tot: -3.083 eV per atom
raw formation energy: -0.48 eV per atom

Crystalline CsBOs2C at its relaxed geometry. Source: the Alexandria database, functional PBE.

abc: 3.9756 3.9756 6.1452
angles: 90.00 90.00 90.00
With the nearest neighbours (Å) after each atom.
Space group P4/mmm (No. 123)
Inequivalent atoms, fractional coordinates:
Cs 0.0000 0.0000 0.0000  4 B 2.81, 2 C 3.07
B 0.5000 0.5000 0.0000  4 Cs 2.81
Os 0.0000 0.5000 0.5000  2 C 1.99
C 0.0000 0.0000 0.5000  4 Os 1.99

Summary:
calculated formation energy: 1879 meV/atom
E_tot: -5.964 eV per atom

> Number 4 is which compound?

Ca2TeAu